No. 1
{"formula": "ErZnPdRu", "functional": "GGA-PBE", "state": "relaxed", "lattice_angstrom": [[-3.983, 1.090, -1.960], [-3.736, 0.563, 2.574], [-1.766, 4.176, 0.582]], "species": ["Er", "Pd", "Ru", "Zn"], "frac_coords": [[0.000, 0.000, 0.000], [0.250, 0.250, 0.250], [0.750, 0.750, 0.750], [0.500, 0.500, 0.500]], "delta_e_f_ev_per_fu": -1.7}

***

No. 2
{"formula": "LaGePS2", "functional": "GGA-PBE", "state": "relaxed", "lattice_angstrom": [[5.421, 0.000, 0.000], [0.000, 5.421, 0.000], [0.000, 0.000, 5.482]], "species": ["P", "La", "S", "S", "Ge"], "frac_coords": [[0.000, 0.000, 0.500], [0.000, 0.000, 0.000], [0.500, 0.000, 0.000], [0.000, 0.500, 0.000], [0.500, 0.500, 0.500]], "e_form_raw_ev_per_atom": 0.269, "e_above_lowest_polymorph_mev_per_atom": 884}

***

No. 3
{"formula": "SnH", "functional": "GGA-PBE", "state": "relaxed", "lattice_angstrom": [[4.968, 0.000, 0.000], [0.000, 4.968, 0.000], [0.000, 0.000, 4.968]], "species": ["Sn", "Sn", "Sn", "Sn", "H", "H", "H", "H"], "frac_coords": [[0.000, 0.000, 0.500], [0.500, 0.000, 0.000], [0.500, 0.500, 0.500], [0.000, 0.500, 0.000], [0.000, 0.500, 0.500], [0.000, 0.000, 0.000], [0.500, 0.500, 0.000], [0.500, 0.000, 0.500]], "e_above_lowest_polymorph_mev_per_atom": 434}

***

No. 4
{"formula": "Ho5ScCd3", "functional": "GGA-PBE", "state": "relaxed", "lattice_angstrom": [[6.779, 0.000, 0.000], [0.000, 9.078, 0.000], [0.000, -4.539, 7.862]], "species": ["Cd", "Cd", "Cd", "Cd", "Cd", "Cd", "Ho", "Ho", "Ho", "Ho", "Ho", "Ho", "Ho", "Ho", "Ho", "Ho", "Sc", "Sc"], "frac_coords": [[0.250, 0.663, 0.663], [0.750, 0.337, 0.337], [0.250, 0.000, 0.337], [0.750, 0.000, 0.663], [0.750, 0.663, 0.000], [0.250, 0.337, 0.000], [0.500, 0.333, 0.667], [0.000, 0.667, 0.333], [0.750, 0.324, 0.000], [0.250, 0.000, 0.676], [0.750, 0.676, 0.676], [0.500, 0.667, 0.333], [0.250, 0.676, 0.000], [0.000, 0.333, 0.667], [0.750, 0.000, 0.324], [0.250, 0.324, 0.324], [0.500, 0.000, 0.000], [0.000, 0.000, 0.000]], "delta_e_f_ev_per_fu": -1.6}

***

No. 5
{"formula": "LiThSc2Tl4", "functional": "GGA-PBE", "state": "relaxed", "lattice_angstrom": [[5.135, 0.000, 0.000], [2.567, 4.447, 0.000], [2.567, 1.482, 8.759]], "species": ["Tl", "Tl", "Tl", "Tl", "Li", "Sc", "Sc", "Th"], "frac_coords": [[0.869, 0.869, 0.393], [0.617, 0.617, 0.150], [0.131, 0.131, 0.607], [0.383, 0.383, 0.850], [0.500, 0.500, 0.500], [0.248, 0.248, 0.257], [0.752, 0.752, 0.743], [0.000, 0.000, 0.000]], "delta_e_f_ev_per_fu": -1.6}

***

No. 6
{"formula": "K2PRh", "functional": "GGA-PBE", "state": "relaxed", "lattice_angstrom": [[-0.910, -2.329, 2.151], [-2.002, -1.312, -2.269], [7.410, -5.824, -3.172]], "species": ["Rh", "K", "K", "P"], "frac_coords": [[0.500, 0.500, 0.662], [0.500, 0.500, 0.343], [0.000, 0.000, 0.913], [0.000, 0.000, 0.582]], "delta_e_f_ev_per_fu": -0.5}

***

No. 7
{"formula": "Rb3Sn2Hg4", "functional": "GGA-PBE", "state": "relaxed", "lattice_angstrom": [[-8.015, 2.497, -2.434], [-4.817, -7.814, 1.920], [-3.856, 1.588, 8.400]], "species": ["Rb", "Rb", "Rb", "Rb", "Rb", "Rb", "Hg", "Hg", "Hg", "Hg", "Hg", "Hg", "Hg", "Hg", "Sn", "Sn", "Sn", "Sn"], "frac_coords": [[0.108, 0.026, 0.742], [0.892, 0.974, 0.258], [0.250, 0.551, 0.449], [0.392, 0.258, 0.974], [0.750, 0.449, 0.551], [0.608, 0.742, 0.026], [0.657, 0.336, 0.240], [0.343, 0.664, 0.760], [0.807, 0.287, 0.934], [0.843, 0.760, 0.664], [0.693, 0.066, 0.713], [0.157, 0.240, 0.336], [0.193, 0.713, 0.066], [0.307, 0.934, 0.287], [0.045, 0.514, 0.839], [0.955, 0.486, 0.161], [0.455, 0.161, 0.486], [0.545, 0.839, 0.514]], "delta_e_f_ev_per_fu": -1.6, "e_above_lowest_polymorph_mev_per_atom": 0}

***

No. 8
{"formula": "PrHoSi2Pd2", "functional": "GGA-PBE", "state": "relaxed", "lattice_angstrom": [[4.232, 0.000, 0.000], [-2.116, 3.665, 0.000], [0.000, 0.000, 8.034]], "species": ["Pr", "Pd", "Pd", "Ho", "Si", "Si"], "frac_coords": [[0.000, 0.000, 0.000], [0.667, 0.333, 0.273], [0.333, 0.667, 0.727], [0.000, 0.000, 0.500], [0.333, 0.667, 0.257], [0.667, 0.333, 0.743]], "e_form_raw_ev_per_atom": -0.910}